# 1
Compound: Pr4Dy2Tm
Source: the Alexandria database
Functional: PBE
Structure: optimized geometry

The structure in CIF format:
```
data_Pr4Dy2Tm
_cell_length_a 6.267
_cell_length_b 6.718
_cell_length_c 11.676
_cell_angle_alpha 90.00
_cell_angle_beta 104.39
_cell_angle_gamma 90.00
_space_group_name_H-M_alt 'P 1 21/m 1'
_space_group_IT_number 11
loop_
_space_group_symop_operation_xyz
'x,y,z'
'-x,-y,-z'
'-x,y+1/2,-z'
'x,-y+1/2,z'
loop_
_atom_site_label
_atom_site_fract_x
_atom_site_fract_y
_atom_site_fract_z
Pr1 0.044 0.250 0.367
Pr2 0.152 0.250 0.951
Pr3 0.356 0.512 0.216
Dy1 0.287 0.750 0.922
Dy2 0.390 0.750 0.506
Tm1 0.146 0.250 0.663
```

Values from the calculation:
Excess energy over the best structure of this formula in the dataset ... 43 kJ/mol of formula units
Formation enthalpy at 0 K ... 0.87 eV/f.u.
DOS(E_F) ... 21.14 states/eV per cell
VASP energy ... -0.33515 Ry per atom

# 2
Compound: PrDyTm4
Source: the Alexandria database
Functional: PBE
Structure: optimized geometry

The structure in CIF format:
```
data_PrDyTm4
_cell_length_a 8.790
_cell_length_b 14.581
_cell_length_c 6.378
_cell_angle_alpha 90.00
_cell_angle_beta 109.11
_cell_angle_gamma 90.00
_space_group_name_H-M_alt 'C 1 2/c 1'
_space_group_IT_number 15
loop_
_space_group_symop_operation_xyz
'x,y,z'
'-x,-y,-z'
'-x,y,-z+1/2'
'x,-y,z+1/2'
'x+1/2,y+1/2,z'
'-x+1/2,-y+1/2,-z'
'-x+1/2,y+1/2,-z+1/2'
'x+1/2,-y+1/2,z+1/2'
loop_
_atom_site_label
_atom_site_fract_x
_atom_site_fract_y
_atom_site_fract_z
Pr1 0.000 0.084 0.250
Dy1 0.000 0.498 0.750
Tm1 0.094 0.305 0.533
Tm2 0.207 0.133 0.881
```

Values from the calculation:
Excess energy over the best structure of this formula in the dataset ... 68 kJ/mol of formula units
Formation enthalpy at 0 K ... 0.86 eV/f.u.
DOS(E_F) ... 41.26 states/eV per cell
VASP energy ... -0.32343 Ry per atom

# 3
Compound: PrDy6Tm3
Source: the Alexandria database
Functional: PBE
Structure: optimized geometry

The structure in CIF format:
```
data_PrDy6Tm3
_cell_length_a 10.698
_cell_length_b 19.210
_cell_length_c 6.222
_cell_angle_alpha 90.00
_cell_angle_beta 90.00
_cell_angle_gamma 90.00
_space_group_name_H-M_alt 'C m c 21'
_space_group_IT_number 36
loop_
_space_group_symop_operation_xyz
'x,y,z'
'-x,-y,z+1/2'
'-x,y,z'
'x,-y,z+1/2'
'x+1/2,y+1/2,z'
'-x+1/2,-y+1/2,z+1/2'
'-x+1/2,y+1/2,z'
'x+1/2,-y+1/2,z+1/2'
loop_
_atom_site_label
_atom_site_fract_x
_atom_site_fract_y
_atom_site_fract_z
Pr1 0.000 0.212 0.000
Dy1 0.000 0.050 0.714
Dy2 0.000 0.311 0.441
Dy3 0.170 0.457 0.304
Dy4 0.229 0.210 0.657
Tm1 0.000 0.386 0.907
Tm2 0.184 0.107 0.248
```

Values from the calculation:
Excess energy over the best structure of this formula in the dataset ... 0 kJ/mol of formula units
Formation enthalpy at 0 K ... 1.52 eV/f.u.
DOS(E_F) ... 48.95 states/eV per cell
VASP energy ... -0.32552 Ry per atom